This record from Alexandria describes crystalline Er2NpSi2Pt7 at its relaxed geometry. The functional is PBE.

Energy relative to the elements, uncorrected (eV/f.u.): -11.4

Unit cell a=4.021 b=4.021 c=13.951 alpha=96.33 beta=96.33 gamma=89.37
Element x y z (fractional)
Er (0.124, 0.124, 0.359)
Er (0.876, 0.876, 0.641)
Np (0.000, 0.000, 0.000)
Si (0.398, 0.398, 0.738)
Si (0.602, 0.602, 0.262)
Pt (0.066, 0.565, 0.166)
Pt (0.360, 0.360, 0.570)
Pt (0.435, 0.934, 0.834)
Pt (0.500, 0.500, 0.000)
Pt (0.565, 0.066, 0.166)
Pt (0.640, 0.640, 0.430)
Pt (0.934, 0.435, 0.834)

This record from Alexandria describes crystalline LiAs5 at its relaxed geometry. The functional is PBE.

ΔE_f (eV/atom): 0.1481
ΔE to the lowest computed polymorph (meV/atom): 246

Unit cell a=5.239 b=5.239 c=4.799 alpha=90.00 beta=90.00 gamma=120.00
Element x y z (fractional)
Li (0.000, 0.000, 0.000)
As (0.000, 0.717, 0.500)
As (0.283, 0.283, 0.500)
As (0.333, 0.667, 0.000)
As (0.667, 0.333, 0.000)
As (0.717, 0.000, 0.500)

This record from Alexandria describes crystalline Ac2InPt at its relaxed geometry. The functional is PBE.

ΔE_f (eV/atom): -0.6882

Unit cell a=4.356 b=4.356 c=25.955 alpha=90.00 beta=90.00 gamma=120.00
Element x y z (fractional)
Ac (0.000, 0.000, 0.000)
Ac (0.000, 0.000, 0.200)
Ac (0.333, 0.667, 0.667)
Ac (0.333, 0.667, 0.866)
Ac (0.667, 0.333, 0.333)
Ac (0.667, 0.333, 0.533)
In (0.000, 0.000, 0.433)
In (0.333, 0.667, 0.100)
In (0.667, 0.333, 0.766)
Pt (0.000, 0.000, 0.600)
Pt (0.333, 0.667, 0.266)
Pt (0.667, 0.333, 0.933)

This record from Alexandria describes crystalline CaZn6Ag at its relaxed geometry. The functional is PBE.

ΔE_f (eV/atom): 0.0894

Unit cell a=5.292 b=5.292 c=5.292 alpha=90.00 beta=90.00 gamma=90.00
Element x y z (fractional)
Ca (0.000, 0.000, 0.000)
Zn (0.000, 0.257, 0.500)
Zn (0.000, 0.743, 0.500)
Zn (0.257, 0.500, 0.000)
Zn (0.500, 0.000, 0.257)
Zn (0.500, 0.000, 0.743)
Zn (0.743, 0.500, 0.000)
Ag (0.500, 0.500, 0.500)

This record from Alexandria describes crystalline CaGa2SiTc at its relaxed geometry. The functional is PBE.

Energy relative to the elements, uncorrected (eV/f.u.): -1.0
ΔE to the lowest computed polymorph (meV/atom): 0

Unit cell a=4.820 b=4.820 c=4.643 alpha=90.00 beta=90.00 gamma=90.00
Element x y z (fractional)
Ca (0.000, 0.000, 0.000)
Ga (0.000, 0.500, 0.500)
Ga (0.500, 0.000, 0.500)
Si (0.500, 0.500, 0.000)
Tc (0.500, 0.500, 0.500)